1.
A plane-wave DFT calculation with PBE was carried out for a geometry-optimized Tm4Hg2S structure.

ΔE_f (raw) = -67.2 kJ/mol of atoms
Volume = 188.0 Å³/f.u.
Calculated total energy = -3.928 eV per atom
Symmetry = No. 139

Structure (POSCAR):
```
Tm4Hg2S
1.0
5.067 0.000 0.000
0.000 5.067 0.000
-2.534 -2.534 7.323
S Tm Hg
1 4 2
Cartesian
0.000 0.000 0.000
2.534 2.534 4.597
0.000 0.000 2.727
0.000 2.534 0.000
2.534 0.000 0.000
2.534 2.534 1.737
0.000 0.000 5.586
```



2.
A plane-wave DFT calculation with PBE was carried out for a geometry-optimized Tm2Hg2S structure.

ΔE_f (raw) = -91.1 kJ/mol of atoms
Volume = 118.2 Å³/f.u.
Calculated total energy = -3.679 eV per atom
Symmetry = No. 12

Structure (POSCAR):
```
Tm2Hg2S
1.0
-2.329 -2.913 0.481
0.864 -2.714 2.445
-6.461 3.810 6.484
Tm Hg S
2 2 1
Cartesian
-3.879 -1.288 2.811
-4.047 -0.529 6.598
-1.493 -3.211 2.726
-6.433 1.394 6.684
-2.798 0.548 4.464
```



3.
A plane-wave DFT calculation with PBE was carried out for a geometry-optimized Tm6HgS3 structure.

ΔE_f (raw) = -119.0 kJ/mol of atoms
Volume = 238.0 Å³/f.u.
Calculated total energy = -5.185 eV per atom
Symmetry = No. 11

Structure (POSCAR):
```
Tm6HgS3
1.0
-1.868 -3.232 -0.595
9.579 -6.013 2.592
-6.459 1.984 9.491
Tm Hg S
12 2 6
Cartesian
-3.574 -2.199 5.149
4.827 -5.062 6.339
-0.316 -3.237 0.565
1.568 -4.024 10.922
1.607 -5.680 7.789
-0.355 -1.582 3.699
1.390 -4.873 4.095
-0.137 -2.388 7.393
-3.703 -2.837 9.011
4.955 -4.425 2.476
6.048 -7.583 4.193
-4.796 0.322 7.294
-1.106 -4.431 9.524
2.359 -2.830 1.964
-1.080 -3.654 5.222
2.333 -3.608 6.266
3.730 -6.219 4.060
-2.478 -1.042 7.428
2.250 -6.495 10.202
-0.997 -0.766 1.286
```



4.
A plane-wave DFT calculation with PBE was carried out for a geometry-optimized Tm7HgS5 structure.

ΔE_f (raw) = -153.7 kJ/mol of atoms
Volume = 284.4 Å³/f.u.
Calculated total energy = -5.611 eV per atom
Symmetry = No. 11

Structure (POSCAR):
```
Tm7HgS5
1.0
-1.562 -0.114 -3.535
-1.825 -5.604 3.114
-18.879 10.592 8.005
Tm Hg S
14 2 10
Cartesian
-7.220 -2.782 3.293
-15.049 7.649 4.293
-2.167 -1.231 -1.115
-20.101 6.100 8.701
-12.004 1.556 5.268
-10.264 3.310 2.319
-4.207 -0.172 1.869
-18.061 5.040 5.717
-15.182 3.426 4.496
-7.086 1.441 3.090
-4.968 -3.505 0.207
-17.301 8.374 7.379
-11.992 5.396 5.128
-10.276 -0.530 2.458
-7.058 -0.793 1.036
-15.210 5.660 6.550
-0.002 -0.003 0.001
-19.522 7.214 6.290
-2.746 -2.346 1.296
-7.826 3.262 1.242
-14.443 1.604 6.345
-9.441 5.292 4.003
-9.538 1.463 4.176
-12.731 3.404 3.411
-18.630 3.953 8.120
-3.638 0.915 -0.534
```



5.
A plane-wave DFT calculation with PBE was carried out for a geometry-optimized Tm4HgS2 structure.

ΔE_f (raw) = -123.8 kJ/mol of atoms
Volume = 165.0 Å³/f.u.
Calculated total energy = -5.061 eV per atom
Symmetry = No. 63

Structure (POSCAR):
```
Tm4HgS2
1.0
-1.142 0.464 3.699
-5.301 -1.985 -3.443
3.111 -12.747 2.559
Tm Hg S
8 2 4
Cartesian
-3.356 -2.221 1.297
-2.538 -5.571 1.970
0.023 -12.047 1.517
-0.795 -8.697 0.845
-3.300 -10.839 2.395
-0.033 -3.429 0.420
-0.571 0.232 1.850
0.984 -6.142 3.129
0.466 -9.715 3.417
-3.798 -4.553 -0.602
-0.214 -6.105 0.699
-1.926 -13.052 3.096
-1.407 -1.216 -0.282
-3.119 -8.163 2.115
```



6.
A plane-wave DFT calculation with PBE was carried out for a geometry-optimized Tm2HgS structure.

E above lowest polymorph = 1.17 kcal/mol of atoms
ΔE_f (raw) = -108.7 kJ/mol of atoms
Volume = 94.0 Å³/f.u.
Calculated total energy = -4.469 eV per atom
Symmetry = No. 160

Structure (POSCAR):
```
Tm2HgS
1.0
3.736 0.000 0.000
1.868 3.235 0.000
1.868 1.078 7.780
Tm Hg S
2 1 1
Cartesian
1.868 1.078 6.162
1.868 1.078 1.636
3.736 2.157 3.900
5.603 3.235 7.752
```



7.
A plane-wave DFT calculation with PBE was carried out for a geometry-optimized Tm2HgS structure.

E above lowest polymorph = 0.00 kcal/mol of atoms
ΔE_f (raw) = -113.5 kJ/mol of atoms
Volume = 93.7 Å³/f.u.
Calculated total energy = -4.520 eV per atom
Symmetry = No. 166

Structure (POSCAR):
```
Tm2HgS
1.0
-1.085 -1.765 -3.168
-0.950 -3.663 0.105
-7.849 0.091 0.377
S Tm Hg
1 2 1
Cartesian
0.000 0.000 0.000
-7.679 -3.932 -1.963
-2.206 -1.405 -0.723
-4.942 -2.668 -1.343
```



8.
A plane-wave DFT calculation with PBE was carried out for a geometry-optimized TmHgS structure.

ΔE_f (raw) = -103.6 kJ/mol of atoms
Volume = 75.9 Å³/f.u.
Calculated total energy = -4.040 eV per atom
Symmetry = No. 12

Structure (POSCAR):
```
TmHgS
1.0
3.783 0.000 0.000
0.000 7.293 -0.179
-1.892 -0.999 11.027
S Hg Tm
4 4 4
Cartesian
0.000 2.779 2.185
0.000 0.483 10.164
1.892 5.811 0.684
1.892 3.515 8.663
0.000 4.440 5.540
1.892 -0.633 7.013
1.892 1.854 5.308
0.000 6.927 3.835
0.000 1.766 7.966
1.892 0.973 1.679
1.892 4.527 2.882
0.000 5.321 9.170
```



| no. | DOS(E_F) (states/eV/f.u.) |
| --- | --- |
| 1 | 0.47 |
| 2 | 2.34 |
| 3 | 5.53 |
| 4 | 5.42 |
| 5 | 4.17 |
| 6 | 3.39 |
| 7 | 2.22 |
| 8 | 1.50 |